# 1
## SiAuI2N (PBE-GGA)

Data for crystalline SiAuI2N at its relaxed geometry. Values from VASP.

crystal system	tetragonal
magnetic moment	0.0	μB/f.u.
symmetry	P4/mmm (123)
mass density	7.09	g cm⁻³
relative energy among the computed polymorphs	0.0000	eV per atom
ΔE_f (raw)	395	meV/atom
V	23.1	Å³/atom

```
&SYSTEM
  ibrav = 0, nat = 5, ntyp = 4
/
ATOMIC_SPECIES
I 126.90 I.upf
Au 196.97 Au.upf
N 14.01 N.upf
Si 28.09 Si.upf
CELL_PARAMETERS angstrom
-1.365 -5.414 -2.013
0.382 -2.148 5.520
-3.182 0.629 0.465
ATOMIC_POSITIONS crystal
I 0.500 0.000 0.000
Au 0.500 0.500 0.500
N 0.000 0.000 0.500
I 0.000 0.500 0.000
Si 0.000 0.000 0.000
```

# 2
## SnAuIN2 (PBE-GGA)

Data for crystalline SnAuIN2 at its relaxed geometry. Values from VASP.

crystal system	tetragonal
magnetic moment	2.7	μB/f.u.
symmetry	P4/mmm (123)
mass density	6.42	g cm⁻³
relative energy among the computed polymorphs	0.3141	eV per atom
ΔE_f (raw)	1626	meV/atom
V	24.4	Å³/atom

```
&SYSTEM
  ibrav = 0, nat = 5, ntyp = 4
/
ATOMIC_SPECIES
N 14.01 N.upf
I 126.90 I.upf
Au 196.97 Au.upf
Sn 118.71 Sn.upf
CELL_PARAMETERS angstrom
4.277 0.000 0.000
0.000 4.277 0.000
0.000 0.000 6.655
ATOMIC_POSITIONS crystal
N 0.000 0.500 0.000
I 0.000 0.000 0.500
Au 0.000 0.000 0.000
N 0.500 0.000 0.000
Sn 0.500 0.500 0.500
```

# 3
## SnAuIN2 (PBE-GGA)

Data for crystalline SnAuIN2 at its relaxed geometry. Values from VASP.

crystal system	tetragonal
magnetic moment	0.0	μB/f.u.
symmetry	P4/mmm (123)
mass density	6.37	g cm⁻³
relative energy among the computed polymorphs	0.0000	eV per atom
ΔE_f (raw)	1312	meV/atom
V	24.5	Å³/atom

```
&SYSTEM
  ibrav = 0, nat = 5, ntyp = 4
/
ATOMIC_SPECIES
Au 196.97 Au.upf
Sn 118.71 Sn.upf
N 14.01 N.upf
I 126.90 I.upf
CELL_PARAMETERS angstrom
4.041 0.000 0.000
0.000 4.041 0.000
0.000 0.000 7.515
ATOMIC_POSITIONS crystal
Au 0.500 0.500 0.500
Sn 0.000 0.000 0.000
N 0.000 0.500 0.000
I 0.000 0.000 0.500
N 0.500 0.000 0.000
```

# 4
## Sr6Au2I3N (PBE-GGA)

Data for crystalline Sr6Au2I3N at its relaxed geometry. Values from VASP.

crystal system	monoclinic
magnetic moment	0.0	μB/f.u.
symmetry	C2/m (12)
mass density	5.26	g cm⁻³
ΔE_f (raw)	-1003	meV/atom
V	34.6	Å³/atom

```
&SYSTEM
  ibrav = 0, nat = 12, ntyp = 4
/
ATOMIC_SPECIES
Sr 87.62 Sr.upf
I 126.90 I.upf
N 14.01 N.upf
Au 196.97 Au.upf
CELL_PARAMETERS angstrom
7.725 0.000 -0.005
-3.861 6.691 -0.005
-1.294 -2.240 8.036
ATOMIC_POSITIONS crystal
Sr 0.062 0.351 0.186
Sr 0.773 0.773 0.188
I 0.168 0.832 0.500
N 0.000 0.000 0.000
Au 0.334 0.666 0.000
I 0.500 0.500 0.500
Sr 0.351 0.062 0.186
I 0.832 0.168 0.500
Au 0.666 0.334 0.000
Sr 0.938 0.649 0.814
Sr 0.227 0.227 0.812
Sr 0.649 0.938 0.814
```